# 1
The following is a DFT calculation (PBE-GGA) of an optimized crystal structure of InSeCl.

formation energy from raw total energies	-0.76	eV per atom

Unit cell a=3.9178 b=7.1462 c=7.5369 alpha=114.62 beta=100.87 gamma=93.14
Space group P1 (No. 1)
Inequivalent atoms, fractional coordinates:
In1 0.0000 0.0000 0.0000 (multiplicity 1)
In2 0.4119 0.4344 0.9255 (multiplicity 1)
Se1 0.4071 0.0321 0.7617 (multiplicity 1)
Se2 0.8720 0.5758 0.7858 (multiplicity 1)
Cl1 0.1894 0.4344 0.2208 (multiplicity 1)
Cl2 0.6155 0.9987 0.2448 (multiplicity 1)

***

# 2
The following is a DFT calculation (PBE-GGA) of an optimized crystal structure of InSeCl2.

formation energy from raw total energies	0.07	eV per atom
offset from the most stable computed form	0.729	eV/atom

Unit cell a=3.3446 b=4.2914 c=6.4305 alpha=90.00 beta=90.00 gamma=90.00
Space group Pmmm (No. 47)
Inequivalent atoms, fractional coordinates:
In1 0.0000 0.0000 0.0000 (multiplicity 1)
Se1 0.0000 0.0000 0.5000 (multiplicity 1)
Cl1 0.5000 0.5000 0.2431 (multiplicity 2)

***

# 3
The following is a DFT calculation (PBE-GGA) of an optimized crystal structure of In3SeCl2.

formation energy from raw total energies	-0.64	eV per atom

Unit cell a=10.1331 b=9.9240 c=7.3260 alpha=90.00 beta=92.33 gamma=90.00
Space group C2/c (No. 15)
Inequivalent atoms, fractional coordinates:
In1 0.0000 0.1239 0.2500 (multiplicity 4)
In2 0.1472 0.3630 0.4557 (multiplicity 8)
Se1 0.0000 0.4463 0.7500 (multiplicity 4)
Cl1 0.1643 0.0635 0.9286 (multiplicity 8)

***

# 4
The following is a DFT calculation (PBE-GGA) of an optimized crystal structure of In2SeCl2.

formation energy from raw total energies	-0.79	eV per atom
offset from the most stable computed form	0.000	eV/atom

Unit cell a=12.7362 b=7.4983 c=7.3128 alpha=90.00 beta=99.94 gamma=90.00
Space group P2_1/c (No. 14)
Inequivalent atoms, fractional coordinates:
In1 0.0204 0.1342 0.2096 (multiplicity 4)
In2 0.3864 0.5241 0.7161 (multiplicity 4)
Se1 0.1247 0.1133 0.9173 (multiplicity 4)
Cl1 0.1218 0.6161 0.9340 (multiplicity 4)
Cl2 0.4831 0.2500 0.4946 (multiplicity 4)